DFT (GGA-PBE) results for a relaxed CdTcIr2 crystal.

Unit cell a=4.846 b=4.846 c=4.936 alpha=81.49 beta=81.49 gamma=33.13
Atoms (fractional coordinates):
Tc 0.750 0.750 0.750
Ir 0.007 0.007 0.982
Cd 0.250 0.250 0.250
Ir 0.493 0.493 0.518

The value obtained for the density of states at the Fermi level is 0.92 states/eV/atom. Its energy of formation is 200 meV per atom. For the total energy, the calculation gives -7.050 eV per atom. As for the space group: C2/m, No. 12.